{"formula": "SrZrFe", "functional": "PBE", "state": "relaxed", "vol_a3_per_atom": 24.7, "e_form_mev_per_atom": 325, "polymorph_energy_kj_per_mol_atoms": 0.0, "cell": [[-3.311, 2.350, -5.400], [-6.378, 1.334, -1.786], [5.083, 0.420, 4.432]], "species": ["Fe", "Sr", "Zr"], "frac_coords": [[0.031, 0.031, 0.000], [0.351, 0.351, 0.000], [0.618, 0.618, 0.000]]}